Arrangement i

Material: Cd2Pd3Au7
Method: DFT, PBE-GGA
State: relaxed

```
Cd2Pd3Au7
1.0
-2.022 -2.038 -0.305
2.572 -2.098 -3.032
8.676 -8.543 13.272
Cd Pd Au
2 3 7
Cartesian
6.788 -7.911 7.899
2.439 -4.768 2.035
0.275 -2.068 -1.668
3.987 -7.253 8.401
5.239 -5.425 1.533
5.628 -6.464 5.914
3.599 -6.214 4.020
8.773 -9.832 7.580
0.000 0.000 0.000
0.453 -2.847 2.354
2.292 -2.305 0.207
6.934 -10.374 9.728
```

The crystal system is monoclinic. The value obtained for the spin magnetization is 0.00 μB/f.u. Its space group is P2/m, No. 10.

---

Arrangement ii

Material: Cd2Pd3Au7
Method: DFT, PBE-GGA
State: relaxed

```
Cd2Pd3Au7
1.0
-1.155 -2.639 0.174
4.239 -1.792 0.963
-3.697 2.654 15.661
Cd Pd Au
2 3 7
Cartesian
1.321 -1.797 5.431
-1.935 0.021 11.367
1.542 -2.215 0.569
-0.431 0.589 6.055
0.972 0.273 10.568
0.855 -1.422 8.029
-1.469 -0.355 8.769
2.315 -0.824 2.862
0.000 0.000 0.000
-1.774 1.686 13.762
-0.076 -0.660 13.390
-0.538 -1.117 3.408
```

The crystal system is monoclinic. The value obtained for the spin magnetization is 0.00 μB/f.u. Its space group is P2/m, No. 10.

---

Energy relative to the most stable one, in kJ/mol of atoms: arrangement i 6.4; arrangement ii 0.0